No. 1
Density functional theory data (PBE) for a relaxed TaAlZn2 crystal.

abc: 5.336 5.336 5.080
angles: 116.79 116.79 29.96
Atoms (fractional coordinates):
Ta  0.000  0.000  0.000
Al  0.750  0.750  0.070
Zn  0.249  0.249  0.561
Zn  0.503  0.503  0.501

Output
Symmetry ... No. 8
Energy of formation ... -3.08 kJ/mol of atoms
Energy ... -0.168 Ha/atom

=====

No. 2
Density functional theory data (PBE) for a relaxed AcLaPr4Ho2 crystal.

abc: 5.782 5.782 9.757
angles: 99.76 99.76 64.44
Atoms (fractional coordinates):
Ac  0.000  0.000  0.000
La  0.500  0.500  0.500
Pr  0.124  0.124  0.381
Pr  0.375  0.375  0.138
Pr  0.625  0.625  0.862
Pr  0.876  0.876  0.619
Ho  0.255  0.255  0.755
Ho  0.745  0.745  0.245

Output
Symmetry ... No. 12
Energy of formation ... 11.49 kJ/mol of atoms
Energy ... -0.167 Ha/atom

=====

No. 3
Density functional theory data (PBE) for a relaxed CdSe2Br crystal.

abc: 4.166 4.166 8.351
angles: 90.00 90.00 123.19
Atoms (fractional coordinates):
Cd  0.000  0.000  0.000
Se  0.000  0.000  0.436
Se  0.500  0.500  0.257
Br  0.500  0.500  0.778

Output
Symmetry ... No. 35
Energy relative to the elements, uncorrected ... -0.03 eV per atom
E above lowest polymorph ... 265 meV per atom
Energy ... -0.089 Ha/atom

=====

No. 4
Density functional theory data (PBE) for a relaxed CoAuSe2 crystal.

abc: 11.507 11.507 4.614
angles: 90.00 90.00 165.52
Atoms (fractional coordinates):
Co  0.061  0.939  0.750
Co  0.939  0.061  0.250
Au  0.315  0.685  0.750
Au  0.685  0.315  0.250
Se  0.041  0.959  0.250
Se  0.165  0.835  0.750
Se  0.835  0.165  0.250
Se  0.959  0.041  0.750

Output
Symmetry ... No. 63
Energy relative to the elements, uncorrected ... 0.11 eV per atom
Energy ... -0.155 Ha/atom

=====

No. 5
Density functional theory data (PBE) for a relaxed SrMgSi2 crystal.

abc: 8.269 3.933 11.247
angles: 90.00 90.00 90.00
Atoms (fractional coordinates):
Sr  0.124  0.250  0.132
Sr  0.376  0.750  0.632
Sr  0.624  0.250  0.368
Sr  0.876  0.750  0.868
Mg  0.014  0.250  0.618
Mg  0.486  0.750  0.118
Mg  0.514  0.250  0.882
Mg  0.986  0.750  0.382
Si  0.181  0.250  0.826
Si  0.218  0.250  0.428
Si  0.282  0.750  0.928
Si  0.319  0.750  0.326
Si  0.681  0.250  0.674
Si  0.718  0.250  0.072
Si  0.782  0.750  0.572
Si  0.819  0.750  0.174

Output
Symmetry ... No. 62
Energy relative to the elements, uncorrected ... -0.33 eV per atom
Energy ... -0.142 Ha/atom

=====

No. 6
Density functional theory data (PBE) for a relaxed LaYCu crystal.

abc: 4.878 4.878 3.952
angles: 90.00 90.00 120.00
Atoms (fractional coordinates):
La  0.000  0.000  0.000
Y  0.667  0.333  0.477
Cu  0.333  0.667  0.612

Output
Symmetry ... No. 156
Energy of formation ... 6.20 kJ/mol of atoms
E above lowest polymorph ... 161 meV per atom
Energy ... -0.187 Ha/atom

=====

Q: Among the records above, which one has the highest energy?
A: CdSe2Br